[1]
Here is crystalline LiAcCdCu at its relaxed geometry from the Alexandria database. Energies are from PBE-GGA.

Cell: 5.0820 5.0820 5.0820 Å, 60.00 60.00 60.00°
Positions (direct):
1 Li 0.0000 0.0000 0.0000
2 Ac 0.7500 0.7500 0.7500
3 Cd 0.2500 0.2500 0.2500
4 Cu 0.5000 0.5000 0.5000

Output
DOS at the Fermi energy ... 5.1 states/eV/f.u.
Space-group type ... F-43m (216)
Formation enthalpy at 0 K ... -82 meV/atom



[2]
Here is crystalline AcLuCdCu at its relaxed geometry from the Alexandria database. Energies are from PBE-GGA.

Cell: 5.3336 5.3336 5.3336 Å, 60.00 60.00 60.00°
Positions (direct):
1 Ac 0.0000 0.0000 0.0000
2 Lu 0.5000 0.5000 0.5000
3 Cd 0.7500 0.7500 0.7500
4 Cu 0.2500 0.2500 0.2500

Output
DOS at the Fermi energy ... 1.7 states/eV/f.u.
Space-group type ... F-43m (216)
Formation enthalpy at 0 K ... -131 meV/atom



[3]
Here is crystalline AcMgCdCu at its relaxed geometry from the Alexandria database. Energies are from PBE-GGA.

Cell: 5.2390 5.2390 5.2390 Å, 60.00 60.00 60.00°
Positions (direct):
1 Ac 0.0000 0.0000 0.0000
2 Mg 0.5000 0.5000 0.5000
3 Cd 0.2500 0.2500 0.2500
4 Cu 0.7500 0.7500 0.7500

Output
DOS at the Fermi energy ... 3.3 states/eV/f.u.
Space-group type ... F-43m (216)
Formation enthalpy at 0 K ... -122 meV/atom



[4]
Here is crystalline Ac2CdCuO6 at its relaxed geometry from the Alexandria database. Energies are from PBE-GGA.

Cell: 5.7660 8.1604 5.7618 Å, 90.00 90.00 90.00°
Positions (direct):
1 Ac 0.2500 0.9997 0.2503
2 Ac 0.2500 0.5003 0.2503
3 Ac 0.7500 0.0003 0.7497
4 Ac 0.7500 0.4997 0.7497
5 Cd 0.2500 0.2500 0.7503
6 Cd 0.7500 0.7500 0.2497
7 Cu 0.2500 0.7500 0.7497
8 Cu 0.7500 0.2500 0.2503
9 O 0.0140 0.7500 0.5132
10 O 0.0140 0.7500 0.9863
11 O 0.2500 0.5140 0.7493
12 O 0.2500 0.9860 0.7493
13 O 0.4860 0.7500 0.5132
14 O 0.4860 0.7500 0.9863
15 O 0.5140 0.2500 0.0137
16 O 0.5140 0.2500 0.4868
17 O 0.7500 0.0140 0.2507
18 O 0.7500 0.4860 0.2507
19 O 0.9860 0.2500 0.0137
20 O 0.9860 0.2500 0.4868

Output
Formation energy from raw total energies ... -1.92 eV/atom
DOS at the Fermi energy ... 2.0 states/eV/f.u.
Space-group type ... Pmmn (59)



[5]
Here is crystalline AcCd2CuO4 at its relaxed geometry from the Alexandria database. Energies are from PBE-GGA.

Cell: 6.0368 6.0368 11.3655 Å, 90.00 90.00 145.92°
Positions (direct):
1 Ac 0.1143 0.8857 0.7500
2 Ac 0.8857 0.1143 0.2500
3 Cd 0.3728 0.6272 0.5497
4 Cd 0.3728 0.6272 0.9503
5 Cd 0.6272 0.3728 0.0497
6 Cd 0.6272 0.3728 0.4503
7 Cu 0.1452 0.8548 0.2500
8 Cu 0.8548 0.1452 0.7500
9 O 0.0000 0.0000 0.0000
10 O 0.0000 0.0000 0.5000
11 O 0.2811 0.7189 0.1243
12 O 0.2811 0.7189 0.3757
13 O 0.4486 0.5514 0.7500
14 O 0.5514 0.4486 0.2500
15 O 0.7189 0.2811 0.6243
16 O 0.7189 0.2811 0.8757

Output
Formation energy from raw total energies ... -1.49 eV/atom
DOS at the Fermi energy ... 2.0 states/eV/f.u.
Space-group type ... Cmcm (63)



[6]
Here is crystalline Ac4CdCu3O12 at its relaxed geometry from the Alexandria database. Energies are from PBE-GGA.

Cell: 6.9493 6.9493 6.9493 Å, 109.47 109.47 109.47°
Positions (direct):
1 Ac 0.0000 0.0000 0.5000
2 Ac 0.0000 0.5000 0.0000
3 Ac 0.5000 0.0000 0.0000
4 Ac 0.5000 0.5000 0.5000
5 Cd 0.0000 0.0000 0.0000
6 Cu 0.0000 0.5000 0.5000
7 Cu 0.5000 0.0000 0.5000
8 Cu 0.5000 0.5000 0.0000
9 O 0.0000 0.2673 0.2673
10 O 0.0000 0.7327 0.7327
11 O 0.2500 0.5000 0.7500
12 O 0.2500 0.7500 0.5000
13 O 0.2673 0.0000 0.2673
14 O 0.2673 0.2673 0.0000
15 O 0.5000 0.2500 0.7500
16 O 0.5000 0.7500 0.2500
17 O 0.7327 0.0000 0.7327
18 O 0.7327 0.7327 0.0000
19 O 0.7500 0.2500 0.5000
20 O 0.7500 0.5000 0.2500

Output
Formation energy from raw total energies ... -1.96 eV/atom
DOS at the Fermi energy ... 4.2 states/eV/f.u.
Space-group type ... Im-3m (229)